{
  "formula": "MgH2Rh",
  "functional": "PBE-GGA",
  "state": "optimized geometry",
  "lattice": [[4.759, 0.000, 0.000], [-2.380, 4.122, 0.000], [0.000, 0.000, 5.758]],
  "species": ["Mg", "Mg", "Mg", "H", "H", "H", "H", "H", "H", "Rh", "Rh", "Rh"],
  "fractional_positions": [[0.000, 0.670, 0.167], [0.330, 0.330, 0.500], [0.670, 0.000, 0.833], [0.124, 0.499, 0.859], [0.374, 0.876, 0.525], [0.499, 0.124, 0.141], [0.501, 0.626, 0.192], [0.626, 0.501, 0.808], [0.876, 0.374, 0.475], [0.000, 0.701, 0.667], [0.299, 0.299, 0.000], [0.701, 0.000, 0.333]],
  "total_energy_ev_per_atom": -4.295,
  "dos_at_fermi_per_ev_fu": 0.5
}